Entry 1:
First-principles (PBE with a Hubbard U) data for ErCo2GeO6 after structural relaxation, as listed in Alexandria.

Cell lengths 5.1873, 5.1901, 5.4740 Å; angles 90.01, 118.28, 119.88 degrees
Atoms (fractional coordinates):
Er1 0.0000 0.0000 0.0000
Co1 0.5812 0.7899 0.3684
Co2 0.5914 0.2964 0.8843
Ge1 0.9887 0.4949 0.4797
O1 0.0721 0.4233 0.1747
O2 0.1053 0.2212 0.6598
O3 0.4417 0.8848 0.6603
O4 0.5259 0.1065 0.1743
O5 0.7551 0.6496 0.1754
O6 0.7761 0.5580 0.6591


Entry 2:
First-principles (PBE with a Hubbard U) data for Er2CoGeO6 after structural relaxation, as listed in Alexandria.

Cell lengths 5.5645, 5.5645, 5.5645 Å; angles 58.37, 58.37, 58.37 degrees
Atoms (fractional coordinates):
Er1 0.0000 0.0000 0.0000
Er2 0.4996 0.4996 0.4996
Co1 0.2733 0.2733 0.2733
Ge1 0.7807 0.7807 0.7807
O1 0.0418 0.4436 0.6507
O2 0.1302 0.9134 0.5732
O3 0.4436 0.6507 0.0418
O4 0.5732 0.1302 0.9134
O5 0.6507 0.0418 0.4436
O6 0.9134 0.5732 0.1302


Summary of total magnetization in μB/cell
3.03 3.03
(order as listed above)
Summary of E_tot in eV per cell
-66.89 -73.53
(order as listed above)
Summary of ρ in g/cm3
7.04 7.96
(order as listed above)